## a
This record from Alexandria via LeMat-Bulk describes a relaxed structure of CoNiAsBr2. The functional is PBE.

Geometry as CIF:
```
data_CoNiAsBr2
_chemical_formula_sum 'Co1 Ni1 As1 Br2'
_cell_length_a 4.9846
_cell_length_b 4.9846
_cell_length_c 4.5461
_cell_angle_alpha 90.00
_cell_angle_beta 90.00
_cell_angle_gamma 90.00
_space_group_name_H-M_alt 'P 1'
_space_group_IT_number 1
_space_group_name_Hall 'P 1'
loop_
_atom_site_label
_atom_site_type_symbol
_atom_site_fract_x
_atom_site_fract_y
_atom_site_fract_z
Co1 Co 0.0000 0.0000 0.0000
Ni1 Ni 0.5000 0.5000 0.5000
As1 As 0.5000 0.5000 0.0000
Br1 Br 0.0000 0.5000 0.5000
Br2 Br 0.5000 0.0000 0.5000
```

Calculated values
- DOS at the Fermi energy: 7.1 states/eV/f.u.
- Space-group type: No. 123

=====

## b
This record from Alexandria via LeMat-Bulk describes a relaxed structure of CoNiAsBr2. The functional is PBE.

Geometry as CIF:
```
data_CoNiAsBr2
_chemical_formula_sum 'Co1 Ni1 As1 Br2'
_cell_length_a 5.0130
_cell_length_b 5.0130
_cell_length_c 4.3778
_cell_angle_alpha 90.00
_cell_angle_beta 90.00
_cell_angle_gamma 90.00
_space_group_name_H-M_alt 'P 1'
_space_group_IT_number 1
_space_group_name_Hall 'P 1'
loop_
_atom_site_label
_atom_site_type_symbol
_atom_site_fract_x
_atom_site_fract_y
_atom_site_fract_z
Co1 Co 0.0000 0.0000 0.0000
Ni1 Ni 0.5000 0.5000 0.5000
As1 As 0.0000 0.0000 0.5000
Br1 Br 0.0000 0.5000 0.0000
Br2 Br 0.5000 0.0000 0.0000
```

Calculated values
- DOS at the Fermi energy: 9.9 states/eV/f.u.
- Space-group type: No. 123

=====

What should be chosen as the most stable of them? Choose b.